The following is a PBE calculation of In2TcPd after structural relaxation, from OQMD via LeMat-Bulk.

Output
- total DFT energy (no corrections) (eV for the cell shown) = -19.9
- symmetry = F-43m

```
4
Lattice="2.333 1.347 3.810 -2.333 1.347 3.810 0.000 -2.694 3.810" Properties=species:S:1:pos:R:3 pbc="T T T"
Pd 0.000 0.000 2.857
In 0.000 0.000 8.572
In 0.000 0.000 5.715
Tc 0.000 0.000 0.000
```

---

The following is a PBE calculation of InTePd after structural relaxation, from OQMD via LeMat-Bulk.

Output
- total DFT energy (no corrections) (eV for the cell shown) = -10.9
- symmetry = F-43m

```
3
Lattice="0.000 3.402 3.402 3.402 0.000 3.402 3.402 3.402 0.000" Properties=species:S:1:pos:R:3 pbc="T T T"
In 1.701 1.701 1.701
Pd 5.102 5.102 5.102
Te 0.000 0.000 0.000
```

---

The following is a PBE calculation of In10Te10Pd after structural relaxation, from OQMD via LeMat-Bulk.

Output
- total DFT energy (no corrections) (eV for the cell shown) = -138.6
- symmetry = Pbam

```
42
Lattice="-2.540 6.949 -3.456 -0.313 -5.795 -11.421 -12.632 -3.550 2.147" Properties=species:S:1:pos:R:3 pbc="T T T"
Te -9.287 -2.998 0.799
Te -6.202 -0.108 -5.308
Te -12.433 -0.319 -1.150
Te -3.085 -3.332 -4.433
Te -12.373 -5.042 -1.043
Te -6.042 -2.987 -1.564
Te -6.141 -0.145 -9.426
Te -9.284 -2.287 -7.422
Te -4.033 3.301 -4.047
Te -3.658 -6.347 -10.073
Te -5.088 -3.026 -7.992
Te -9.860 -6.012 -4.841
Te -3.052 -2.077 -11.580
Te -12.506 -2.815 -10.117
Te -10.397 0.631 -4.738
Te -9.344 -2.251 -3.305
Te -2.980 0.419 -2.613
Te -11.452 -5.697 -8.683
Te -0.571 -4.303 -8.232
Te -6.903 -6.358 -7.710
In -3.119 2.570 -6.810
In -9.387 -7.473 -8.126
In -3.558 -1.872 -1.148
In -1.902 -0.759 -5.154
In -12.276 -1.576 -3.793
In -3.010 -4.571 -6.978
In -9.935 -4.774 -2.296
In -8.433 0.691 -7.304
In -7.052 -3.086 -5.426
In -6.137 -4.802 -10.172
In -9.583 -3.672 -9.988
In -7.354 -1.474 -11.827
In -3.209 -0.820 -8.938
In -0.580 1.586 -0.789
In -13.583 -1.637 -7.576
In -5.902 1.277 -2.743
In -8.131 -0.922 -0.903
In -12.366 -4.965 -5.920
In -9.348 2.407 -2.559
In -1.960 5.363 -2.667
Pd -7.586 1.700 -0.654
Pd -1.427 0.577 -7.439
```

---

The following is a PBE calculation of TlInTe3Pd after structural relaxation, from OQMD via LeMat-Bulk.

Output
- energy relative to the lowest polymorph listed for this composition (kJ/mol of formula units) = 36
- symmetry = P2_1/m

```
12
Lattice="-4.041 6.176 4.700 -3.098 0.060 -2.742 -2.735 -10.079 2.869" Properties=species:S:1:pos:R:3 pbc="T T T"
Tl -4.222 2.366 3.260
Tl -5.652 -6.209 1.566
Te -1.731 1.137 0.419
Te -8.143 -4.980 4.407
Te -6.444 -0.627 5.705
Te -5.552 -0.176 1.585
Te -3.430 -3.216 -0.879
Te -4.322 -3.667 3.241
In -6.995 -2.244 3.170
In -2.879 -1.599 1.656
Pd -3.098 -0.538 -1.195
Pd -6.776 -3.305 6.021
```

---

The following is a PBE calculation of TlInTe3Pd after structural relaxation, from OQMD via LeMat-Bulk.

Output
- energy relative to the lowest polymorph listed for this composition (kJ/mol of formula units) = 0
- symmetry = Pnma

```
24
Lattice="16.259 0.000 0.000 0.000 4.385 0.000 0.000 0.000 10.334" Properties=species:S:1:pos:R:3 pbc="T T T"
Pd 8.041 1.096 3.308
Pd 0.088 3.288 8.474
Pd 8.218 3.288 7.026
Pd 16.170 1.096 1.859
Te 5.419 1.096 2.273
Te 9.250 3.288 4.499
Te 1.120 3.288 0.668
Te 9.746 1.096 1.165
Te 2.711 3.288 7.440
Te 10.840 3.288 8.061
Te 1.617 1.096 4.002
Te 14.642 3.288 6.332
Te 15.138 1.096 9.666
Te 13.548 1.096 2.894
Te 6.512 3.288 9.169
Te 7.009 1.096 5.835
Tl 3.849 1.096 9.708
Tl 11.979 1.096 5.793
Tl 12.410 3.288 0.626
Tl 4.280 3.288 4.541
In 8.850 1.096 8.727
In 7.409 3.288 1.606
In 0.720 1.096 6.773
In 15.538 3.288 3.560
```

---

The following is a PBE calculation of TmInPd after structural relaxation, from OQMD via LeMat-Bulk.

Output
- total DFT energy (no corrections) (eV for the cell shown) = -12.7
- symmetry = F-43m

```
3
Lattice="-4.494 -0.895 -1.357 -3.353 3.374 0.461 -1.793 2.133 -3.883" Properties=species:S:1:pos:R:3 pbc="T T T"
In -2.410 1.153 -1.195
Pd -7.230 3.459 -3.584
Tm 0.000 0.000 0.000
```

---

The following is a PBE calculation of Tm5In4Pd after structural relaxation, from OQMD via LeMat-Bulk.

Output
- total DFT energy (no corrections) (eV for the cell shown) = -43.9
- symmetry = P4/mmm

```
10
Lattice="-0.371 -3.332 -0.959 2.822 -0.851 1.865 -11.721 -3.357 16.206" Properties=species:S:1:pos:R:3 pbc="T T T"
In -2.206 -0.632 3.050
In -4.638 -1.328 6.413
In -7.083 -2.029 9.793
In -9.516 -2.725 13.156
Tm -4.635 -3.770 8.556
Tm 0.254 -2.370 1.795
Tm -7.080 -4.470 11.936
Tm -2.190 -3.070 5.175
Tm -9.525 -5.171 15.316
Pd 0.000 0.000 0.000
```

---

The following is a PBE calculation of TmInPd after structural relaxation, from OQMD via LeMat-Bulk.

Output
- total DFT energy (no corrections) (eV for the cell shown) = -44.4
- symmetry = P-62m

```
9
Lattice="-0.475 3.159 6.728 2.469 -6.995 -0.663 3.736 1.354 -0.372" Properties=species:S:1:pos:R:3 pbc="T T T"
Tm 2.686 -0.898 2.304
Tm 1.588 2.539 3.780
Tm 3.323 -3.446 -0.577
In 0.631 -1.789 -0.170
In 1.484 -2.855 4.514
In -0.122 0.808 1.720
Pd 0.506 -0.226 4.264
Pd 1.488 -3.610 1.800
Pd 1.868 0.677 -0.186
```

---

The following is a PBE calculation of Tm5In4Pd2 after structural relaxation, from OQMD via LeMat-Bulk.

Output
- total DFT energy (no corrections) (eV for the cell shown) = -102.5
- symmetry = Pbam

```
22
Lattice="-13.056 -8.207 9.378 -2.126 -4.086 -6.536 2.296 -2.628 0.896" Properties=species:S:1:pos:R:3 pbc="T T T"
Tm -9.950 -6.971 5.046
Tm -9.492 -8.401 -0.317
Tm -5.232 -5.322 -2.203
Tm -3.377 -2.781 0.495
Tm -11.805 -9.512 2.347
Tm 0.000 0.000 0.000
Tm -5.690 -3.893 3.160
Tm -7.591 -6.147 1.421
Tm -2.390 -3.194 -3.242
Tm -12.791 -9.100 6.084
Pd -10.366 -9.861 4.879
Pd -2.877 -3.909 3.147
Pd -10.010 -11.012 0.592
Pd -2.520 -5.060 -1.141
In -2.751 -6.291 -4.161
In -8.561 -9.015 2.736
In -0.349 -3.049 -0.804
In -6.713 -6.836 4.391
In -4.326 -5.907 1.002
In -6.173 -8.085 -0.652
In -12.537 -11.872 4.542
In -10.135 -8.630 7.899
```

---

The following is a PBE calculation of Tm6InPd2 after structural relaxation, from OQMD via LeMat-Bulk.

Output
- total DFT energy (no corrections) (eV for the cell shown) = -90.1
- symmetry = Immm

```
18
Lattice="-2.399 -1.202 8.007 5.285 6.582 0.242 -6.709 1.382 -4.939" Properties=species:S:1:pos:R:3 pbc="T T T"
Tm 0.519 4.140 1.296
Tm -2.084 2.335 -0.794
Tm -1.143 1.316 2.577
Tm 0.370 4.137 6.904
Tm -4.342 2.623 2.014
Tm -2.685 5.697 -2.776
Tm -2.681 5.447 0.732
Tm 1.516 6.000 4.147
Tm -1.138 1.067 6.086
Tm -5.339 0.763 -0.837
Tm -1.739 4.428 4.104
Tm -4.194 2.626 -3.594
In 1.443 2.690 4.125
In 0.000 0.000 0.000
Pd -3.497 2.061 4.555
Pd -5.973 0.118 2.012
Pd -0.326 4.702 -1.245
Pd -3.135 0.062 1.056
```

---

The following is a PBE calculation of TmInPd after structural relaxation, from OQMD via LeMat-Bulk.

Output
- total DFT energy (no corrections) (eV for the cell shown) = -14.4
- symmetry = F-43m

```
3
Lattice="0.000 3.306 3.306 3.306 0.000 3.306 3.306 3.306 0.000" Properties=species:S:1:pos:R:3 pbc="T T T"
Pd 0.000 0.000 0.000
Tm 4.960 4.960 4.960
In 1.653 1.653 1.653
```

---

The following is a PBE calculation of TmInPd after structural relaxation, from OQMD via LeMat-Bulk.

Output
- total DFT energy (no corrections) (eV for the cell shown) = -42.6
- symmetry = P-62m

```
9
Lattice="-0.954 6.552 2.693 -5.571 -4.423 -0.698 0.726 -1.550 4.029" Properties=species:S:1:pos:R:3 pbc="T T T"
Tm -0.175 2.921 3.534
Tm -2.481 0.153 2.884
Tm -2.780 -3.270 1.621
In 0.363 -0.775 2.015
In -2.493 2.894 1.562
In -4.032 -0.765 0.432
Pd -1.352 -1.073 -0.169
Pd -4.941 1.612 1.511
Pd -0.231 1.590 0.654
```